This record from Alexandria via LeMat-Bulk describes a relaxed structure of FeO. The functional is PBE+U.

Summary:
Its magnetization is 4.0 μB per formula unit. The total energy is -157.75 eV for the cell shown.

```
FeO
1.0
-3.3056 4.1376 -0.1984
-1.9235 -4.9367 -0.1244
-0.6503 -0.0128 10.5677
Fe O
12 12
direct
0.3275 0.9941 0.1249
0.3275 0.9941 0.3751
0.0059 0.3335 0.1249
0.0059 0.3335 0.3751
0.6665 0.6725 0.1249
0.6665 0.6725 0.3751
0.3335 0.0059 0.6249
0.3335 0.0059 0.8751
0.6725 0.6665 0.6249
0.6725 0.6665 0.8751
0.9941 0.3275 0.8751
0.9941 0.3275 0.6249
0.9872 0.6647 0.7500
0.3333 0.6667 0.5150
0.0000 0.0000 0.5000
0.0000 0.0000 0.0000
0.3333 0.6667 0.9850
0.3353 0.3225 0.7500
0.6775 0.0128 0.7500
0.3225 0.3353 0.2500
0.6667 0.3333 0.0150
0.6667 0.3333 0.4850
0.0128 0.6775 0.2500
0.6647 0.9872 0.2500
```